Compound: NaLaTc2Ir
Source: Alexandria via LeMat-Bulk
Functional: PBE
Structure: optimized geometry

Properties
formation energy	3.87	eV/f.u.
symmetry	P4/mmm, No. 123
V	115	Å³/f.u.

a b c (Å): 4.7874 5.0364 4.7874
angles (deg): 90.00 90.00 90.00
Closest atoms and distances in Å follow each position.
Sites, in units of the cell vectors:
Na 0.0000 0.5000 0.0000  2 Ir 2.52
Ir 0.0000 0.0000 0.0000  4 Tc 2.39, 2 Na 2.52
Tc 0.0000 0.0000 0.5000  2 Ir 2.39
Tc 0.5000 0.0000 0.0000  2 Ir 2.39
La 0.5000 0.5000 0.5000  4 Na 3.39, 8 Tc 3.47

Compound: Sm6GeC2Br3
Source: Alexandria via LeMat-Bulk
Functional: PBE
Structure: optimized geometry

Properties
symmetry	C2/m, No. 12
formation energy without anion corrections	-963	meV per atom
V	296	Å³/f.u.

a b c (Å): 3.9082 8.6403 9.4925
angles (deg): 108.99 101.88 90.00
Closest atoms and distances in Å follow each position.
Sites, in units of the cell vectors:
Sm 0.3337 0.8550 0.6675  2 C 2.56
Sm 0.6838 0.5506 0.3676  3 C 2.55-2.63
Sm 0.6663 0.1450 0.3325  2 C 2.56
Sm 0.0281 0.2524 0.0563  1 C 2.50
Sm 0.9719 0.7476 0.9437  1 C 2.50
Sm 0.3162 0.4494 0.6324  3 C 2.55-2.63
Ge 0.5000 0.0000 0.0000  6 Sm 2.84-2.92
C 0.8292 0.6606 0.6583  6 Sm 2.50-2.63
C 0.1708 0.3394 0.3417  6 Sm 2.50-2.63
Br 0.5000 0.5000 0.0000  6 Sm 3.07-3.30
Br 0.8353 0.1695 0.6707  6 Sm 3.08-3.41
Br 0.1647 0.8305 0.3293  6 Sm 3.08-3.41

Compound: AcPr4Y5
Source: Alexandria via LeMat-Bulk
Functional: PBE
Structure: optimized geometry

Properties
formation energy	2.11	eV/f.u.
symmetry	C2/m, No. 12
energy above the lowest structure with this stoichiometry	187	meV/atom
V	366	Å³/f.u.

a b c (Å): 3.6342 11.4835 8.9554
angles (deg): 90.77 101.72 89.99
Closest atoms and distances in Å follow each position.
Sites, in units of the cell vectors:
Ac 0.5000 0.0000 0.0000  6 Pr 3.51-3.92, 2 Ac 3.63, 4 Y 3.69
Pr 0.6529 0.2503 0.3081  4 Pr 3.63-3.71, 7 Y 3.68-4.04, 1 Ac 3.92
Pr 0.9685 0.2565 0.9389  4 Y 3.37-3.40, 2 Ac 3.51, 4 Pr 3.63-3.71
Pr 0.3471 0.7497 0.6919  4 Pr 3.63-3.71, 7 Y 3.68-4.04, 1 Ac 3.92
Pr 0.0315 0.7435 0.0611  4 Y 3.37-3.40, 2 Ac 3.51, 4 Pr 3.63-3.71
Y 0.1732 0.5497 0.3478  2 Pr 3.38-3.77, 6 Y 3.44-3.63
Y 0.1777 0.9387 0.3565  4 Y 3.39-3.63, 2 Pr 3.40-3.68, 2 Ac 3.69
Y 0.8223 0.0613 0.6435  4 Y 3.39-3.63, 2 Pr 3.40-3.68, 2 Ac 3.69
Y 0.5000 0.5000 0.0000  4 Pr 3.37, 6 Y 3.59-3.63
Y 0.8268 0.4503 0.6522  2 Pr 3.38-3.77, 6 Y 3.44-3.63

Compound: CaAl4Ga
Source: Alexandria via LeMat-Bulk
Functional: PBE
Structure: optimized geometry

Properties
formation energy	-0.49	eV/f.u.
symmetry	F-43m, No. 216
V	121	Å³/f.u.

a b c (Å): 5.5592 5.5592 5.5592
angles (deg): 60.00 60.00 60.00
Closest atoms and distances in Å follow each position.
Sites, in units of the cell vectors:
Ca 0.2500 0.2500 0.2500  12 Al 3.26, 4 Ga 3.40
Al 0.6247 0.6247 0.1259  6 Al 2.77-2.79
Al 0.6247 0.1259 0.6247  6 Al 2.77-2.79
Al 0.6247 0.6247 0.6247  6 Al 2.77-2.79
Al 0.1259 0.6247 0.6247  6 Al 2.77-2.79
Ga 0.0000 0.0000 0.0000  12 Al 3.26, 4 Ca 3.40

Compound: Dy2YErTl2
Source: Alexandria via LeMat-Bulk
Functional: PBE
Structure: optimized geometry

Properties
formation energy	-1.66	eV/f.u.
symmetry	Pmc2_1, No. 26
V	173	Å³/f.u.

a b c (Å): 5.0721 6.8556 9.9288
angles (deg): 90.00 90.00 90.00
Closest atoms and distances in Å follow each position.
Sites, in units of the cell vectors:
Dy 0.5000 0.0547 0.0446  5 Tl 3.21-3.52, 4 Dy 3.50-3.54
Dy 0.0000 0.3382 0.1873  4 Tl 3.20-3.22, 2 Dy 3.50
Dy 0.5000 0.5547 0.9554  5 Tl 3.21-3.52, 4 Dy 3.50-3.54
Dy 0.0000 0.8382 0.8127  4 Tl 3.20-3.22, 2 Dy 3.50
Y 0.0000 0.9597 0.4554  5 Tl 3.21-3.49, 2 Er 3.51, 2 Y 3.54
Y 0.0000 0.4597 0.5446  5 Tl 3.21-3.49, 2 Er 3.51, 2 Y 3.54
Er 0.5000 0.1755 0.6893  4 Tl 3.19-3.20, 2 Y 3.51
Er 0.5000 0.6755 0.3107  4 Tl 3.19-3.20, 2 Y 3.51
Tl 0.0000 0.2992 0.8661  2 Er 3.20, 6 Dy 3.20-3.52, 1 Y 3.38
Tl 0.5000 0.2182 0.3696  2 Er 3.19, 4 Y 3.21-3.49, 3 Dy 3.22-3.42
Tl 0.0000 0.7992 0.1339  2 Er 3.20, 6 Dy 3.20-3.52, 1 Y 3.38
Tl 0.5000 0.7182 0.6304  2 Er 3.19, 4 Y 3.21-3.49, 3 Dy 3.22-3.42

Compound: CdSb2Se
Source: Alexandria via LeMat-Bulk
Functional: PBE
Structure: optimized geometry

Properties
symmetry	Imm2, No. 44
energy above the lowest structure with this stoichiometry	287	meV/atom
formation energy without anion corrections	127	meV per atom
V	103	Å³/f.u.

a b c (Å): 6.3841 6.3841 6.3841
angles (deg): 145.82 134.55 58.08
Closest atoms and distances in Å follow each position.
Sites, in units of the cell vectors:
Cd 0.2646 0.7646 0.5000  6 Sb 3.10-3.37, 2 Se 3.38
Sb 0.9703 0.9703 0.0000  2 Sb 3.10, 4 Se 3.14, 2 Cd 3.37
Sb 0.7488 0.2488 0.5000  2 Sb 3.10, 4 Cd 3.10, 2 Se 3.20
Se 0.5163 0.5163 0.0000  6 Sb 3.14-3.20, 2 Cd 3.38

Calculated size of the total moment in order - 0.00 0.00 0.00 0.00 0.00 0.00 μB/f.u.